--- a ---
Material: TlFe2Rh
Method: DFT, GGA-PBE
State: relaxed

CIF file:
```
data_TlFe2Rh
_chemical_formula_sum 'Tl1 Fe2 Rh1'
_cell_length_a 2.8678
_cell_length_b 3.8428
_cell_length_c 5.6691
_cell_angle_alpha 90.00
_cell_angle_beta 90.12
_cell_angle_gamma 90.00
_symmetry_space_group_name_H-M 'P 1 2/m 1'
_symmetry_Int_Tables_number 10
_symmetry_space_group_name_Hall '-P 2y'
loop_
_atom_site_label
_atom_site_type_symbol
_atom_site_fract_x
_atom_site_fract_y
_atom_site_fract_z
_atom_site_occupancy
Tl1 Tl 0.0000 0.0000 0.0000 1
Fe1 Fe 0.4997 0.5000 0.2879 1
Rh1 Rh 0.0000 0.0000 0.5000 1
```

## Properties
Spin magnetization   6.14 μB/f.u.
Mass density   11.14 g/cm3

---

--- b ---
Material: TlFe2Rh
Method: DFT, GGA-PBE
State: relaxed

CIF file:
```
data_TlFe2Rh
_chemical_formula_sum 'Tl1 Fe2 Rh1'
_cell_length_a 2.9080
_cell_length_b 2.9080
_cell_length_c 7.5293
_cell_angle_alpha 90.00
_cell_angle_beta 90.00
_cell_angle_gamma 90.00
_symmetry_space_group_name_H-M 'P 4/m m m'
_symmetry_Int_Tables_number 123
_symmetry_space_group_name_Hall '-P 4 2'
loop_
_atom_site_label
_atom_site_type_symbol
_atom_site_fract_x
_atom_site_fract_y
_atom_site_fract_z
_atom_site_occupancy
Tl1 Tl 0.0000 0.0000 0.0000 1
Fe1 Fe 0.5000 0.5000 0.2867 1
Rh1 Rh 0.0000 0.0000 0.5000 1
```

## Properties
Spin magnetization   6.48 μB/f.u.
Mass density   10.93 g/cm3

---

Computed relative energies in units of meV/atom: a 0; b 50

---

--- a ---
Material: BSbSe2
Method: DFT, GGA-PBE
State: relaxed

CIF file:
```
data_BSbSe2
_chemical_formula_sum 'B2 Sb2 Se4'
_cell_length_a 4.1877
_cell_length_b 6.7171
_cell_length_c 7.5794
_cell_angle_alpha 73.53
_cell_angle_beta 83.64
_cell_angle_gamma 83.58
_symmetry_space_group_name_H-M 'P -1'
_symmetry_Int_Tables_number 2
_symmetry_space_group_name_Hall '-P 1'
loop_
_atom_site_label
_atom_site_type_symbol
_atom_site_fract_x
_atom_site_fract_y
_atom_site_fract_z
_atom_site_occupancy
B1 B 0.1672 0.0638 0.4502 1
Sb1 Sb 0.2536 0.8407 0.9463 1
Se1 Se 0.0527 0.3310 0.2482 1
Se2 Se 0.4418 0.1356 0.6408 1
```

## Properties
Spin magnetization   0.00 μB/f.u.
Mass density   4.76 g/cm3

---

--- b ---
Material: BSbSe2
Method: DFT, GGA-PBE
State: relaxed

CIF file:
```
data_BSbSe2
_chemical_formula_sum 'B2 Sb2 Se4'
_cell_length_a 5.9102
_cell_length_b 6.4239
_cell_length_c 7.1832
_cell_angle_alpha 103.45
_cell_angle_beta 109.65
_cell_angle_gamma 105.09
_symmetry_space_group_name_H-M 'P 1'
_symmetry_Int_Tables_number 1
_symmetry_space_group_name_Hall 'P 1'
loop_
_atom_site_label
_atom_site_type_symbol
_atom_site_fract_x
_atom_site_fract_y
_atom_site_fract_z
_atom_site_occupancy
B1 B 0.0000 0.0000 0.0000 1
B2 B 0.0936 0.8754 0.1798 1
Sb1 Sb 0.2421 0.3814 0.2004 1
Sb2 Sb 0.7939 0.1685 0.5495 1
Se1 Se 0.2055 0.1430 0.4736 1
Se2 Se 0.4514 0.9224 0.1596 1
Se3 Se 0.7840 0.8329 0.7042 1
Se4 Se 0.8799 0.5478 0.1370 1
```

## Properties
Spin magnetization   0.00 μB/f.u.
Mass density   4.16 g/cm3

---

Computed relative energies in units of meV/atom: a 0; b 95

---

--- a ---
Material: FePtSe2
Method: DFT, GGA-PBE
State: relaxed

CIF file:
```
data_FePtSe2
_chemical_formula_sum 'Fe2 Pt2 Se4'
_cell_length_a 3.8195
_cell_length_b 3.8665
_cell_length_c 12.0958
_cell_angle_alpha 90.00
_cell_angle_beta 90.00
_cell_angle_gamma 90.00
_symmetry_space_group_name_H-M 'I m m m'
_symmetry_Int_Tables_number 71
_symmetry_space_group_name_Hall '-I 2 2'
loop_
_atom_site_label
_atom_site_type_symbol
_atom_site_fract_x
_atom_site_fract_y
_atom_site_fract_z
_atom_site_occupancy
Fe1 Fe 0.0000 0.0000 0.0000 1
Pt1 Pt 0.0000 0.0000 0.5000 1
Se1 Se 0.0000 0.5000 0.1367 1
```

## Properties
Spin magnetization   3.46 μB/f.u.
Mass density   7.60 g/cm3

---

--- b ---
Material: FePtSe2
Method: DFT, GGA-PBE
State: relaxed

CIF file:
```
data_FePtSe2
_chemical_formula_sum 'Fe3 Pt3 Se6'
_cell_length_a 3.6670
_cell_length_b 3.6670
_cell_length_c 18.5912
_cell_angle_alpha 90.00
_cell_angle_beta 90.00
_cell_angle_gamma 120.00
_symmetry_space_group_name_H-M 'R -3 m'
_symmetry_Int_Tables_number 166
_symmetry_space_group_name_Hall '-R 3 2"'
loop_
_atom_site_label
_atom_site_type_symbol
_atom_site_fract_x
_atom_site_fract_y
_atom_site_fract_z
_atom_site_occupancy
Fe1 Fe 0.0000 0.0000 0.0000 1
Pt1 Pt 0.0000 0.0000 0.5000 1
Se1 Se 0.0000 0.0000 0.2502 1
```

## Properties
Spin magnetization   2.81 μB/f.u.
Mass density   9.41 g/cm3

---

Computed relative energies in units of meV/atom: a 0; b 259

---

--- a ---
Material: TlTc2As
Method: DFT, GGA-PBE
State: relaxed

CIF file:
```
data_TlTc2As
_chemical_formula_sum 'Tl2 Tc4 As2'
_cell_length_a 3.1764
_cell_length_b 4.0702
_cell_length_c 10.8382
_cell_angle_alpha 90.00
_cell_angle_beta 90.00
_cell_angle_gamma 90.00
_symmetry_space_group_name_H-M 'I m m 2'
_symmetry_Int_Tables_number 44
_symmetry_space_group_name_Hall 'I 2 -2'
loop_
_atom_site_label
_atom_site_type_symbol
_atom_site_fract_x
_atom_site_fract_y
_atom_site_fract_z
_atom_site_occupancy
Tl1 Tl 0.0000 0.0000 0.0000 1
Tc1 Tc 0.0000 0.0000 0.4206 1
Tc2 Tc 0.0000 0.5000 0.1919 1
As1 As 0.0000 0.5000 0.7464 1
```

## Properties
Spin magnetization   0.00 μB/f.u.
Mass density   11.27 g/cm3

---

--- b ---
Material: TlTc2As
Method: DFT, GGA-PBE
State: relaxed

CIF file:
```
data_TlTc2As
_chemical_formula_sum 'Tl1 Tc2 As1'
_cell_length_a 2.9838
_cell_length_b 2.9838
_cell_length_c 8.3377
_cell_angle_alpha 90.00
_cell_angle_beta 90.00
_cell_angle_gamma 90.00
_symmetry_space_group_name_H-M 'P 4 m m'
_symmetry_Int_Tables_number 99
_symmetry_space_group_name_Hall 'P 4 -2'
loop_
_atom_site_label
_atom_site_type_symbol
_atom_site_fract_x
_atom_site_fract_y
_atom_site_fract_z
_atom_site_occupancy
Tl1 Tl 0.0000 0.0000 0.0000 1
Tc1 Tc 0.0000 0.0000 0.5500 1
Tc2 Tc 0.5000 0.5000 0.7388 1
As1 As 0.5000 0.5000 0.3521 1
```

## Properties
Spin magnetization   0.00 μB/f.u.
Mass density   10.63 g/cm3

---

Computed relative energies in units of meV/atom: a 273; b 0

---

--- a ---
Material: TaMn2Os
Method: DFT, GGA-PBE
State: relaxed

CIF file:
```
data_TaMn2Os
_chemical_formula_sum 'Ta1 Mn2 Os1'
_cell_length_a 2.7163
_cell_length_b 4.0259
_cell_length_c 5.3109
_cell_angle_alpha 90.00
_cell_angle_beta 103.65
_cell_angle_gamma 90.00
_symmetry_space_group_name_H-M 'P 1 2/m 1'
_symmetry_Int_Tables_number 10
_symmetry_space_group_name_Hall '-P 2y'
loop_
_atom_site_label
_atom_site_type_symbol
_atom_site_fract_x
_atom_site_fract_y
_atom_site_fract_z
_atom_site_occupancy
Ta1 Ta 0.0000 0.0000 0.0000 1
Mn1 Mn 0.4960 0.5000 0.7368 1
Os1 Os 0.0000 0.0000 0.5000 1
```

## Properties
Spin magnetization   3.75 μB/f.u.
Mass density   14.15 g/cm3

---

--- b ---
Material: TaMn2Os
Method: DFT, GGA-PBE
State: relaxed

CIF file:
```
data_TaMn2Os
_chemical_formula_sum 'Ta4 Mn8 Os4'
_cell_length_a 6.1099
_cell_length_b 6.1099
_cell_length_c 6.1099
_cell_angle_alpha 90.00
_cell_angle_beta 90.00
_cell_angle_gamma 90.00
_symmetry_space_group_name_H-M 'F -4 3 m'
_symmetry_Int_Tables_number 216
_symmetry_space_group_name_Hall 'F -4 2 3'
loop_
_atom_site_label
_atom_site_type_symbol
_atom_site_fract_x
_atom_site_fract_y
_atom_site_fract_z
_atom_site_occupancy
Ta1 Ta 0.0000 0.0000 0.0000 1
Mn1 Mn 0.0000 0.0000 0.5000 1
Mn2 Mn 0.2500 0.2500 0.7500 1
Os1 Os 0.2500 0.2500 0.2500 1
```

## Properties
Spin magnetization   2.93 μB/f.u.
Mass density   14.01 g/cm3

---

Computed relative energies in units of meV/atom: a 125; b 0